(1)
A relaxed structure of PrEr3Te3. Source: the Alexandria database, functional PBE-GGA.

CIF file:
```
data_PrEr3Te3
_symmetry_space_group_name_H-M 'R -3'
_symmetry_Int_Tables_number 148
_symmetry_space_group_name_Hall '-R 3'
_cell_length_a 7.1912
_cell_length_b 7.1912
_cell_length_c 31.2679
_cell_angle_alpha 90.00
_cell_angle_beta 90.00
_cell_angle_gamma 120.00
loop_
_atom_site_label
_atom_site_type_symbol
_atom_site_fract_x
_atom_site_fract_y
_atom_site_fract_z
Pr1 Pr 0.0000 0.0000 0.1670
Er1 Er 0.0033 0.6547 0.3773
Te1 Te 0.0019 0.6860 0.5627
```


(2)
A relaxed structure of CuAsP2. Source: the Alexandria database, functional PBE-GGA.

CIF file:
```
data_CuAsP2
_symmetry_space_group_name_H-M 'C 1 2/m 1'
_symmetry_Int_Tables_number 12
_cell_length_a 10.6742
_cell_length_b 3.2854
_cell_length_c 4.0615
_cell_angle_alpha 90.00
_cell_angle_beta 111.77
_cell_angle_gamma 90.00
loop_
_symmetry_equiv_pos_as_xyz
'x,y,z'
'-x,-y,-z'
'-x,y,-z'
'x,-y,z'
'x+1/2,y+1/2,z'
'-x+1/2,-y+1/2,-z'
'-x+1/2,y+1/2,-z'
'x+1/2,-y+1/2,z'
loop_
_atom_site_label
_atom_site_type_symbol
_atom_site_fract_x
_atom_site_fract_y
_atom_site_fract_z
Cu1 Cu 0.0000 0.0000 0.0000
As1 As 0.0000 0.5000 0.5000
P1 P 0.2372 0.0000 0.1680
```

Values from the calculation:
**Calculated formation energy**: 75 meV per atom


(3)
A relaxed structure of LiInCl2. Source: the Alexandria database, functional PBE-GGA.

CIF file:
```
data_LiInCl2
_symmetry_space_group_name_H-M 'P 4 m m'
_symmetry_Int_Tables_number 99
_cell_length_a 3.6226
_cell_length_b 3.6226
_cell_length_c 7.9934
_cell_angle_alpha 90.00
_cell_angle_beta 90.00
_cell_angle_gamma 90.00
loop_
_symmetry_equiv_pos_as_xyz
'x,y,z'
'-y,x,z'
'-x,-y,z'
'y,-x,z'
'-x,y,z'
'y,x,z'
'x,-y,z'
'-y,-x,z'
loop_
_atom_site_label
_atom_site_type_symbol
_atom_site_fract_x
_atom_site_fract_y
_atom_site_fract_z
Li1 Li 0.0000 0.0000 0.0000
In1 In 0.5000 0.5000 0.5090
Cl1 Cl 0.0000 0.0000 0.3132
Cl2 Cl 0.5000 0.5000 0.9414
```

Values from the calculation:
**Energy relative to the lowest polymorph listed for this composition**: 0.086 eV/atom


Uncorrected energy across the listed records, respectively: -4.914 -4.817 -3.306 eV/atom.